First-principles (GGA-PBE) data for an optimized crystal structure of Nd3ScGe4, as listed in the Alexandria database.

Output
Theoretical density (kg/m3): 6010
ΔH_f (0 K) (eV per atom): -0.700
Crystal system: orthorhombic

Unit cell a=4.325 b=6.175 c=15.896 alpha=90.00 beta=90.00 gamma=90.00
Space group Immm (No. 71)
Symmetry-distinct sites (fractional):
Nd  0.000  0.000  0.000
Nd  0.000  0.500  0.195
Sc  0.000  0.000  0.500
Ge  0.000  0.299  0.373